--- w ---
Computed, not measured: a relaxed structure of TcPt6Rh at the PBE level of DFT.

CIF file:
```
data_TcPt6Rh
_cell_length_a 8.838
_cell_length_b 3.921
_cell_length_c 7.876
_cell_angle_alpha 90.00
_cell_angle_beta 116.47
_cell_angle_gamma 90.00
_symmetry_space_group_name_H-M 'C 1 2/m 1'
_symmetry_Int_Tables_number 12
_symmetry_space_group_name_Hall '-C 2y'
loop_
_atom_site_label
_atom_site_type_symbol
_atom_site_fract_x
_atom_site_fract_y
_atom_site_fract_z
Tc1 Tc 0.000 0.000 0.000
Pt1 Pt 0.002 0.500 0.246
Pt2 Pt 0.249 0.500 0.627
Pt3 Pt 0.250 0.000 0.877
Rh1 Rh 0.000 0.000 0.500
```

Computed properties:
Magnetization = 0.0 Bohr magnetons per cell

--- x ---
Computed, not measured: a relaxed structure of TcPt6Rh at the PBE level of DFT.

CIF file:
```
data_TcPt6Rh
_cell_length_a 3.936
_cell_length_b 3.936
_cell_length_c 7.895
_cell_angle_alpha 90.00
_cell_angle_beta 90.00
_cell_angle_gamma 90.00
_symmetry_space_group_name_H-M 'P 4/m m m'
_symmetry_Int_Tables_number 123
_symmetry_space_group_name_Hall '-P 4 2'
loop_
_atom_site_label
_atom_site_type_symbol
_atom_site_fract_x
_atom_site_fract_y
_atom_site_fract_z
Tc1 Tc 0.000 0.000 0.000
Pt1 Pt 0.000 0.500 0.246
Pt2 Pt 0.500 0.500 0.000
Pt3 Pt 0.500 0.500 0.500
Rh1 Rh 0.000 0.000 0.500
```

Computed properties:
Magnetization = 0.0 Bohr magnetons per cell

Last place for stability: x

--- w ---
Computed, not measured: a relaxed structure of Tc2Pt3Rh4 at the PBE level of DFT.

CIF file:
```
data_Tc2Pt3Rh4
_cell_length_a 4.794
_cell_length_b 7.072
_cell_length_c 8.546
_cell_angle_alpha 72.51
_cell_angle_beta 74.05
_cell_angle_gamma 89.90
_symmetry_space_group_name_H-M 'P -1'
_symmetry_Int_Tables_number 2
_symmetry_space_group_name_Hall '-P 1'
loop_
_atom_site_label
_atom_site_type_symbol
_atom_site_fract_x
_atom_site_fract_y
_atom_site_fract_z
Tc1 Tc 0.109 0.365 0.111
Tc2 Tc 0.336 0.918 0.664
Pt1 Pt 0.111 0.195 0.445
Pt2 Pt 0.224 0.139 0.887
Pt3 Pt 0.440 0.531 0.782
Rh1 Rh 0.005 0.581 0.332
Rh2 Rh 0.224 0.979 0.219
Rh3 Rh 0.333 0.750 0.998
Rh4 Rh 0.446 0.699 0.443
```

Computed properties:
Magnetization = 0.0 Bohr magnetons per cell

--- x ---
Computed, not measured: a relaxed structure of Tc2Pt3Rh4 at the PBE level of DFT.

CIF file:
```
data_Tc2Pt3Rh4
_cell_length_a 11.682
_cell_length_b 3.864
_cell_length_c 6.179
_cell_angle_alpha 90.00
_cell_angle_beta 108.41
_cell_angle_gamma 90.00
_symmetry_space_group_name_H-M 'C 1 2/m 1'
_symmetry_Int_Tables_number 12
_symmetry_space_group_name_Hall '-C 2y'
loop_
_atom_site_label
_atom_site_type_symbol
_atom_site_fract_x
_atom_site_fract_y
_atom_site_fract_z
Tc1 Tc 0.176 0.000 0.001
Pt1 Pt 0.000 0.500 0.000
Pt2 Pt 0.112 0.500 0.668
Rh1 Rh 0.056 0.000 0.324
Rh2 Rh 0.219 0.500 0.322
```

Computed properties:
Magnetization = 0.0 Bohr magnetons per cell

Last place for stability: w

--- w ---
Computed, not measured: a relaxed structure of TcPt8Rh2 at the PBE level of DFT.

CIF file:
```
data_TcPt8Rh2
_cell_length_a 11.422
_cell_length_b 6.979
_cell_length_c 5.113
_cell_angle_alpha 90.00
_cell_angle_beta 101.57
_cell_angle_gamma 90.00
_symmetry_space_group_name_H-M 'C 1 2/m 1'
_symmetry_Int_Tables_number 12
_symmetry_space_group_name_Hall '-C 2y'
loop_
_atom_site_label
_atom_site_type_symbol
_atom_site_fract_x
_atom_site_fract_y
_atom_site_fract_z
Tc1 Tc 0.000 0.000 0.000
Pt1 Pt 0.095 0.500 0.690
Pt2 Pt 0.105 0.309 0.206
Pt3 Pt 0.209 0.000 0.942
Rh1 Rh 0.194 0.000 0.448
```

Computed properties:
Magnetization = 1.8 Bohr magnetons per cell

--- x ---
Computed, not measured: a relaxed structure of TcPt8Rh2 at the PBE level of DFT.

CIF file:
```
data_TcPt8Rh2
_cell_length_a 14.180
_cell_length_b 3.930
_cell_length_c 6.247
_cell_angle_alpha 90.00
_cell_angle_beta 105.50
_cell_angle_gamma 90.00
_symmetry_space_group_name_H-M 'C 1 2/m 1'
_symmetry_Int_Tables_number 12
_symmetry_space_group_name_Hall '-C 2y'
loop_
_atom_site_label
_atom_site_type_symbol
_atom_site_fract_x
_atom_site_fract_y
_atom_site_fract_z
Tc1 Tc 0.000 0.000 0.000
Pt1 Pt 0.045 0.500 0.732
Pt2 Pt 0.091 0.000 0.447
Pt3 Pt 0.136 0.500 0.180
Pt4 Pt 0.181 0.000 0.909
Rh1 Rh 0.226 0.500 0.630
```

Computed properties:
Magnetization = 0.0 Bohr magnetons per cell

Last place for stability: w

--- w ---
Computed, not measured: a relaxed structure of TePtRh2 at the PBE level of DFT.

CIF file:
```
data_TePtRh2
_cell_length_a 6.429
_cell_length_b 6.429
_cell_length_c 6.429
_cell_angle_alpha 90.00
_cell_angle_beta 90.00
_cell_angle_gamma 90.00
_symmetry_space_group_name_H-M 'F -4 3 m'
_symmetry_Int_Tables_number 216
_symmetry_space_group_name_Hall 'F -4 2 3'
loop_
_atom_site_label
_atom_site_type_symbol
_atom_site_fract_x
_atom_site_fract_y
_atom_site_fract_z
Te1 Te 0.000 0.000 0.000
Pt1 Pt 0.250 0.250 0.750
Rh1 Rh 0.000 0.000 0.500
Rh2 Rh 0.250 0.250 0.250
```

Computed properties:
Magnetization = 0.0 Bohr magnetons per cell

--- x ---
Computed, not measured: a relaxed structure of TePtRh2 at the PBE level of DFT.

CIF file:
```
data_TePtRh2
_cell_length_a 5.475
_cell_length_b 5.475
_cell_length_c 12.736
_cell_angle_alpha 90.00
_cell_angle_beta 90.00
_cell_angle_gamma 90.00
_symmetry_space_group_name_H-M 'I -4 2 d'
_symmetry_Int_Tables_number 122
_symmetry_space_group_name_Hall 'I -4 2bw'
loop_
_atom_site_label
_atom_site_type_symbol
_atom_site_fract_x
_atom_site_fract_y
_atom_site_fract_z
Te1 Te 0.000 0.000 0.000
Pt1 Pt 0.000 0.000 0.500
Rh1 Rh 0.243 0.250 0.625
```

Computed properties:
Magnetization = 0.0 Bohr magnetons per cell

Last place for stability: x